(1)
DFT (PBE) results for LaGaSbO6 after structural relaxation.

abc: 5.2828 5.2828 10.4223
angles: 90.00 90.00 120.00
Fractional coordinates of all 18 atoms:
La  0.0000  0.0000  0.0000
La  0.0000  0.0000  0.5000
Ga  0.6667  0.3333  0.2500
Ga  0.3333  0.6667  0.7500
Sb  0.3333  0.6667  0.2500
Sb  0.6667  0.3333  0.7500
O  0.6317  0.6324  0.1435
O  0.0007  0.3683  0.1435
O  0.3683  0.0007  0.6435
O  0.9993  0.6317  0.8565
O  0.3676  0.3683  0.3565
O  0.0007  0.6324  0.3565
O  0.6324  0.0007  0.8565
O  0.6317  0.9993  0.3565
O  0.9993  0.3676  0.6435
O  0.3676  0.9993  0.1435
O  0.6324  0.6317  0.6435
O  0.3683  0.3676  0.8565

Values from the calculation:
For the formation energy without anion corrections, the calculation gives -1725 kJ/mol of formula units. As for the symmetry: No. 163. The crystal system is trigonal. The total energy comes out at -6.6339 eV per atom.

---

(2)
DFT (PBE) results for La4GaSbO after structural relaxation.

abc: 6.8639 6.8603 9.1508
angles: 90.00 112.03 90.00
Fractional coordinates of all 14 atoms:
La  0.9319  0.2500  0.8639
La  0.4193  0.7500  0.8386
La  0.0681  0.7500  0.1361
La  0.5807  0.2500  0.1614
La  0.5000  0.5000  0.5000
La  0.0000  0.0000  0.5000
La  0.5000  0.0000  0.5000
La  0.0000  0.5000  0.5000
Ga  0.1161  0.2500  0.2322
Ga  0.8839  0.7500  0.7678
Sb  0.6100  0.7500  0.2199
Sb  0.3900  0.2500  0.7801
O  0.2532  0.7500  0.5064
O  0.7468  0.2500  0.4936

Values from the calculation:
For the formation energy without anion corrections, the calculation gives -891 kJ/mol of formula units. As for the symmetry: No. 63. The crystal system is orthorhombic. The total energy comes out at -5.8644 eV per atom.

---

(3)
DFT (PBE) results for La2ScGaO6 after structural relaxation.

abc: 5.6336 5.7066 8.0161
angles: 90.00 90.28 90.00
Fractional coordinates of all 20 atoms:
La  0.0100  0.9600  0.2492
La  0.5100  0.5400  0.7492
La  0.9900  0.0400  0.7508
La  0.4900  0.4600  0.2508
Sc  0.5000  0.0000  0.0000
Sc  0.0000  0.5000  0.5000
Ga  0.5000  0.0000  0.5000
Ga  0.0000  0.5000  0.0000
O  0.2842  0.7048  0.0475
O  0.7842  0.7952  0.5475
O  0.7158  0.2952  0.9525
O  0.2158  0.2048  0.4525
O  0.2957  0.7138  0.4522
O  0.7957  0.7862  0.9522
O  0.7043  0.2862  0.5478
O  0.2043  0.2138  0.0478
O  0.9108  0.5246  0.2448
O  0.4108  0.9754  0.7448
O  0.0892  0.4754  0.7552
O  0.5892  0.0246  0.2552

Values from the calculation:
For the formation energy without anion corrections, the calculation gives -2997 kJ/mol of formula units. As for the symmetry: No. 14. The crystal system is monoclinic. The total energy comes out at -8.0023 eV per atom.

---

(4)
DFT (PBE) results for LaGaSe2O after structural relaxation.

abc: 5.9905 6.0070 12.4622
angles: 90.00 90.00 90.00
Fractional coordinates of all 20 atoms:
La  0.7519  0.4972  0.0943
La  0.2519  0.0028  0.0943
La  0.2519  0.5028  0.9057
La  0.7519  0.9972  0.9057
Ga  0.6616  0.0778  0.3975
Ga  0.1616  0.9222  0.6025
Ga  0.6616  0.5778  0.6025
Ga  0.1616  0.4222  0.3975
Se  0.7530  0.9943  0.2188
Se  0.2542  0.0233  0.4152
Se  0.2530  0.5057  0.2188
Se  0.7542  0.4767  0.4152
Se  0.2542  0.5233  0.5848
Se  0.7542  0.9767  0.5848
Se  0.7530  0.4943  0.7812
Se  0.2530  0.0057  0.7812
O  0.9985  0.2508  0.9986
O  0.9985  0.7508  0.0014
O  0.4985  0.7492  0.0014
O  0.4985  0.2492  0.9986

Values from the calculation:
For the formation energy without anion corrections, the calculation gives -893 kJ/mol of formula units. As for the symmetry: No. 29. The crystal system is orthorhombic. The total energy comes out at -5.8273 eV per atom.

---

(5)
DFT (PBE) results for LaGaSeO2 after structural relaxation.

abc: 5.5095 5.7876 6.5441
angles: 116.24 90.00 90.00
Fractional coordinates of all 10 atoms:
La  0.2500  0.6226  0.2452
La  0.7500  0.3774  0.7548
Ga  0.2500  0.0268  0.0536
Ga  0.7500  0.9732  0.9464
Se  0.7500  0.7608  0.5217
Se  0.2500  0.2392  0.4783
O  0.5000  0.2358  0.0000
O  0.0000  0.7642  0.0000
O  0.5000  0.7642  0.0000
O  0.0000  0.2358  0.0000

Values from the calculation:
For the formation energy without anion corrections, the calculation gives -1040 kJ/mol of formula units. As for the symmetry: No. 63. The crystal system is orthorhombic. The total energy comes out at -6.4275 eV per atom.

---

(6)
DFT (PBE) results for LaGaSe2O after structural relaxation.

abc: 6.0841 4.2606 6.0841
angles: 90.00 90.00 90.00
Fractional coordinates of all 5 atoms:
O  0.0000  0.5000  0.0000
Ga  0.5000  0.5000  0.5000
Se  0.0000  0.0000  0.5000
Se  0.5000  0.0000  0.0000
La  0.0000  0.0000  0.0000

Values from the calculation:
For the formation energy without anion corrections, the calculation gives -413 kJ/mol of formula units. As for the symmetry: No. 123. The crystal system is tetragonal. The total energy comes out at -4.8329 eV per atom.

---

(7)
DFT (PBE) results for La4GaSiO after structural relaxation.

abc: 6.8309 6.8286 8.8736
angles: 90.00 112.64 90.00
Fractional coordinates of all 14 atoms:
La  0.9303  0.2500  0.8606
La  0.4272  0.7500  0.8544
La  0.0697  0.7500  0.1394
La  0.5728  0.2500  0.1456
La  0.5000  0.5000  0.5000
La  0.0000  0.0000  0.5000
La  0.5000  0.0000  0.5000
La  0.0000  0.5000  0.5000
Ga  0.6143  0.7500  0.2286
Ga  0.3857  0.2500  0.7714
Si  0.1162  0.2500  0.2324
Si  0.8838  0.7500  0.7676
O  0.2491  0.7500  0.4982
O  0.7509  0.2500  0.5018

Values from the calculation:
For the formation energy without anion corrections, the calculation gives -773 kJ/mol of formula units. As for the symmetry: No. 63. The crystal system is orthorhombic. The total energy comes out at -5.8761 eV per atom.

---

(8)
DFT (PBE) results for La3Ga5SiO14 after structural relaxation.

abc: 8.2666 8.2666 5.1352
angles: 90.00 90.00 120.00
Fractional coordinates of all 23 atoms:
La  0.9946  0.4129  0.9866
La  0.5871  0.5817  0.9866
La  0.4183  0.0054  0.9866
Ga  0.0035  0.7647  0.4868
Ga  0.2353  0.2388  0.4868
Ga  0.7612  0.9965  0.4868
Ga  0.0000  0.0000  0.9970
Ga  0.6667  0.3333  0.4690
Si  0.3333  0.6667  0.5406
O  0.3333  0.6667  0.2240
O  0.6667  0.3333  0.8248
O  0.6622  0.1283  0.3110
O  0.8717  0.5339  0.3110
O  0.4661  0.3378  0.3110
O  0.5316  0.8247  0.6795
O  0.1753  0.7069  0.6795
O  0.2931  0.4684  0.6795
O  0.8981  0.1270  0.7729
O  0.8730  0.7711  0.7729
O  0.2289  0.1019  0.7729
O  0.7835  0.8442  0.2447
O  0.1558  0.9393  0.2447
O  0.0607  0.2165  0.2447

Values from the calculation:
For the formation energy without anion corrections, the calculation gives -5677 kJ/mol of formula units. As for the symmetry: No. 143. The crystal system is trigonal. The total energy comes out at -7.1128 eV per atom.

---

(9)
DFT (PBE) results for La4GaSnO after structural relaxation.

abc: 6.8078 6.8177 9.4027
angles: 90.00 111.22 90.00
Fractional coordinates of all 14 atoms:
La  0.9218  0.2500  0.8437
La  0.4433  0.7500  0.8867
La  0.0782  0.7500  0.1563
La  0.5567  0.2500  0.1133
La  0.5000  0.5000  0.5000
La  0.0000  0.0000  0.5000
La  0.5000  0.0000  0.5000
La  0.0000  0.5000  0.5000
Ga  0.6193  0.7500  0.2386
Ga  0.3807  0.2500  0.7614
Sn  0.1106  0.2500  0.2212
Sn  0.8894  0.7500  0.7788
O  0.2167  0.7500  0.4334
O  0.7833  0.2500  0.5666

Values from the calculation:
For the formation energy without anion corrections, the calculation gives -822 kJ/mol of formula units. As for the symmetry: No. 63. The crystal system is orthorhombic. The total energy comes out at -5.7449 eV per atom.

---

(10)
DFT (PBE) results for La3Ga5SnO14 after structural relaxation.

abc: 8.3519 8.3519 5.2181
angles: 90.00 90.00 120.00
Fractional coordinates of all 23 atoms:
La  0.5726  0.5726  0.0000
La  0.0000  0.4274  0.0000
La  0.4274  0.0000  0.0000
Ga  0.6667  0.3333  0.5303
Ga  0.3333  0.6667  0.4697
Ga  0.2452  0.2452  0.5000
Ga  0.0000  0.7548  0.5000
Ga  0.7548  0.0000  0.5000
Sn  0.0000  0.0000  0.0000
O  0.0823  0.2279  0.7581
O  0.7721  0.8543  0.7581
O  0.1457  0.9177  0.7581
O  0.8543  0.7721  0.2419
O  0.9177  0.1457  0.2419
O  0.2279  0.0823  0.2419
O  0.3157  0.4601  0.3024
O  0.5399  0.8556  0.3024
O  0.1444  0.6843  0.3024
O  0.3333  0.6667  0.8191
O  0.6667  0.3333  0.1809
O  0.4601  0.3157  0.6976
O  0.6843  0.1444  0.6976
O  0.8556  0.5399  0.6976

Values from the calculation:
For the formation energy without anion corrections, the calculation gives -5343 kJ/mol of formula units. As for the symmetry: No. 150. The crystal system is trigonal. The total energy comes out at -6.9004 eV per atom.

---

(11)
DFT (PBE) results for SrLaGaO4 after structural relaxation.

abc: 6.8868 6.8868 6.8868
angles: 147.17 147.17 47.11
Fractional coordinates of all 7 atoms:
Sr  0.6425  0.6425  0.0000
La  0.3582  0.3582  0.0000
Ga  0.0057  0.0057  0.0000
O  0.9944  0.4944  0.5000
O  0.4944  0.9944  0.5000
O  0.8348  0.8348  0.0000
O  0.1700  0.1700  0.0000

Values from the calculation:
For the formation energy without anion corrections, the calculation gives -1832 kJ/mol of formula units. As for the symmetry: No. 107. The crystal system is tetragonal. The total energy comes out at -6.9222 eV per atom.

---

(12)
DFT (PBE) results for Sr2LaGaO5 after structural relaxation.

abc: 7.5298 7.4985 6.8771
angles: 63.00 62.54 54.47
Fractional coordinates of all 18 atoms:
Sr  0.7500  0.7500  0.7500
Sr  0.2500  0.2500  0.2500
Sr  0.6751  0.3249  0.3249
Sr  0.3249  0.6751  0.6751
La  0.1808  0.8192  0.1808
La  0.8192  0.1808  0.8192
Ga  0.7485  0.7485  0.2515
Ga  0.2515  0.2515  0.7485
O  0.2862  0.0011  0.7138
O  0.0011  0.2862  0.9989
O  0.7933  0.4974  0.5026
O  0.4974  0.7933  0.2067
O  0.7138  0.9989  0.2862
O  0.9989  0.7138  0.0011
O  0.2067  0.5026  0.4974
O  0.5026  0.2067  0.7933
O  0.5000  0.5000  0.0000
O  0.0000  0.0000  0.5000

Values from the calculation:
For the formation energy without anion corrections, the calculation gives -2367 kJ/mol of formula units. As for the symmetry: No. 69. The crystal system is orthorhombic. The total energy comes out at -6.7378 eV per atom.